# Mn2Si2Ir PBE relaxed
# - Uncorrected energy: -7.95 eV per atom
# - Calculated density: 9.00 g/cm3
data_Mn2Si2Ir
_cell_length_a 6.217
_cell_length_b 6.217
_cell_length_c 3.420
_cell_angle_alpha 90.00
_cell_angle_beta 90.00
_cell_angle_gamma 90.00
_space_group_name_H-M_alt 'P 1'
_space_group_IT_number 1
_space_group_name_Hall 'P 1'
loop_
_atom_site_label
_atom_site_fract_x
_atom_site_fract_y
_atom_site_fract_z
_atom_site_occupancy
Mn1 0.339 0.161 0.500 1
Mn2 0.661 0.839 0.500 1
Mn3 0.839 0.339 0.500 1
Mn4 0.161 0.661 0.500 1
Si1 0.364 0.864 0.000 1
Si2 0.864 0.636 0.000 1
Si3 0.136 0.364 0.000 1
Si4 0.636 0.136 0.000 1
Ir1 0.000 0.000 0.000 1
Ir2 0.500 0.500 0.000 1